Arrangement w

8
Lattice="3.197 0.000 0.000 0.000 4.555 0.000 0.000 0.000 13.731" Properties=species:S:1:pos:R:3 comment="ScIn2Br GGA-PBEsol relaxed" total_magnetization_mub_per_fu=0.0 n_ef_per_ev_fu=2.8 sg="Immm, No. 71" pbc="T T T"
Sc 0.000 0.000 0.000
Sc 1.598 2.278 6.866
In 0.000 2.278 4.146
In 0.000 2.278 9.585
In 1.598 0.000 2.719
In 1.598 0.000 11.012
Br 0.000 0.000 6.866
Br 1.598 2.278 0.000

***

Arrangement x

8
Lattice="3.275 0.000 0.000 0.000 5.597 0.000 0.000 0.000 10.627" Properties=species:S:1:pos:R:3 comment="ScIn2Br GGA-PBEsol relaxed" total_magnetization_mub_per_fu=0.0 n_ef_per_ev_fu=2.0 sg="Imm2, No. 44" pbc="T T T"
Sc 0.000 0.000 0.000
Sc 1.637 2.799 5.314
In 0.000 0.000 5.179
In 0.000 2.799 2.735
In 1.637 0.000 8.049
In 1.637 2.799 10.493
Br 0.000 2.799 7.387
Br 1.637 0.000 2.074

***

The winner here is arrangement x, beating the second structure by 0.032 eV/atom.

***

Arrangement w

4
Lattice="3.754 0.000 0.000 0.000 4.370 0.000 0.000 0.000 6.151" Properties=species:S:1:pos:R:3 comment="InSeBr2 GGA-PBEsol relaxed" total_magnetization_mub_per_fu=0.0 n_ef_per_ev_fu=2.3 sg="Pmmm, No. 47" pbc="T T T"
In 0.000 0.000 0.000
Se 1.877 0.000 3.076
Br 0.000 2.185 3.076
Br 1.877 2.185 0.000

***

Arrangement x

8
Lattice="6.824 0.000 0.000 0.000 8.562 0.000 -3.400 0.000 3.811" Properties=species:S:1:pos:R:3 comment="InSeBr2 GGA-PBEsol relaxed" total_magnetization_mub_per_fu=0.0 n_ef_per_ev_fu=2.5 sg="C2/m, No. 12" pbc="T T T"
In 0.000 0.000 0.000
In 3.412 4.281 0.000
Se 0.000 4.281 0.000
Se 3.412 0.000 0.000
Br 0.006 2.141 1.906
Br 0.006 6.422 1.906
Br 3.418 2.141 1.906
Br 3.418 6.422 1.906

***

Arrangement y

16
Lattice="9.766 0.000 0.000 0.000 9.766 0.000 0.000 0.000 5.302" Properties=species:S:1:pos:R:3 comment="InSeBr2 GGA-PBEsol relaxed" total_magnetization_mub_per_fu=1.1 n_ef_per_ev_fu=2.4 sg="I-42d, No. 122" pbc="T T T"
In 0.000 0.000 0.000
In 0.000 4.883 1.326
In 4.883 0.000 3.977
In 4.883 4.883 2.651
Se 0.000 0.000 2.651
Se 0.000 4.883 3.977
Se 4.883 0.000 1.326
Se 4.883 4.883 0.000
Br 1.109 7.324 0.663
Br 2.441 1.109 4.640
Br 2.441 3.774 1.988
Br 3.774 7.324 3.314
Br 5.991 2.441 3.314
Br 7.324 5.991 1.988
Br 7.324 8.657 4.640
Br 8.657 2.441 0.663

***

Arrangement z

16
Lattice="7.352 0.000 0.000 0.000 7.352 0.000 0.000 0.000 7.352" Properties=species:S:1:pos:R:3 comment="InSeBr2 GGA-PBEsol relaxed" total_magnetization_mub_per_fu=1.8 n_ef_per_ev_fu=3.4 sg="Fm-3m, No. 225" pbc="T T T"
In 0.000 0.000 0.000
In 0.000 3.676 3.676
In 3.676 0.000 3.676
In 3.676 3.676 0.000
Se 0.000 0.000 3.676
Se 0.000 3.676 0.000
Se 3.676 0.000 0.000
Se 3.676 3.676 3.676
Br 1.838 1.838 1.838
Br 1.838 1.838 5.514
Br 1.838 5.514 1.838
Br 1.838 5.514 5.514
Br 5.514 1.838 1.838
Br 5.514 1.838 5.514
Br 5.514 5.514 1.838
Br 5.514 5.514 5.514

***

The winner here is arrangement y, beating the second structure by 0.010 eV/atom.

***

Arrangement w

8
Lattice="3.952 0.000 0.000 0.000 3.952 0.000 0.000 0.000 12.689" Properties=species:S:1:pos:R:3 comment="InSe2Br GGA-PBEsol relaxed" total_magnetization_mub_per_fu=0.0 n_ef_per_ev_fu=2.6 sg="I4/mmm, No. 139" pbc="T T T"
In 0.000 0.000 0.000
In 1.976 1.976 6.344
Se 0.000 1.976 3.172
Se 0.000 1.976 9.517
Se 1.976 0.000 3.172
Se 1.976 0.000 9.517
Br 0.000 0.000 6.344
Br 1.976 1.976 0.000

***

Arrangement x

4
Lattice="5.099 0.000 0.000 0.000 3.930 0.000 -1.575 0.000 5.305" Properties=species:S:1:pos:R:3 comment="InSe2Br GGA-PBEsol relaxed" total_magnetization_mub_per_fu=0.0 n_ef_per_ev_fu=0.3 sg="P2/m, No. 10" pbc="T T T"
In 0.000 0.000 0.000
Se 1.731 1.965 0.853
Se 1.792 1.965 4.452
Br -0.787 0.000 2.652

***

Arrangement y

4
Lattice="5.017 0.000 0.000 0.000 5.017 0.000 0.000 0.000 3.496" Properties=species:S:1:pos:R:3 comment="InSe2Br GGA-PBEsol relaxed" total_magnetization_mub_per_fu=0.0 n_ef_per_ev_fu=3.4 sg="P4/mmm, No. 123" pbc="T T T"
In 0.000 0.000 0.000
Se 0.000 2.509 1.748
Se 2.509 0.000 1.748
Br 2.509 2.509 0.000

***

The winner here is arrangement x, beating the second structure by 0.346 eV/atom.

***

Arrangement w

12
Lattice="4.016 0.000 0.000 -2.008 3.478 0.000 0.000 0.000 20.966" Properties=species:S:1:pos:R:3 comment="InSe2Br GGA-PBEsol relaxed" total_magnetization_mub_per_fu=0.0 n_ef_per_ev_fu=3.0 sg="R-3m, No. 166" pbc="T T T"
In 0.000 0.000 0.000
In 0.000 2.319 13.978
In 2.008 1.159 6.989
Se 0.000 0.000 5.513
Se 0.000 0.000 15.454
Se 0.000 2.319 8.465
Se 0.000 2.319 19.490
Se 2.008 1.159 1.476
Se 2.008 1.159 12.502
Br 0.000 0.000 10.483
Br 0.000 2.319 3.494
Br 2.008 1.159 17.472

***

Arrangement x

8
Lattice="12.379 0.000 0.000 0.000 3.749 0.000 -0.857 0.000 4.763" Properties=species:S:1:pos:R:3 comment="InSe2Br GGA-PBEsol relaxed" total_magnetization_mub_per_fu=0.0 n_ef_per_ev_fu=0.8 sg="C2/m, No. 12" pbc="T T T"
In 0.000 0.000 0.000
In 6.190 1.874 0.000
Se 2.592 1.874 0.597
Se 2.740 0.000 4.166
Se 8.782 0.000 0.597
Se 8.930 1.874 4.166
Br -0.429 1.874 2.382
Br 5.761 0.000 2.382

***

The winner here is arrangement w, beating the second structure by 0.015 eV/atom.

***

Arrangement w

16
Lattice="7.259 0.000 0.000 0.000 7.259 0.000 0.000 0.000 7.259" Properties=species:S:1:pos:R:3 comment="InSiBr2 GGA-PBEsol relaxed" total_magnetization_mub_per_fu=0.0 n_ef_per_ev_fu=1.5 sg="Fm-3m, No. 225" pbc="T T T"
In 0.000 0.000 0.000
In 0.000 3.630 3.630
In 3.630 0.000 3.630
In 3.630 3.630 0.000
Si 0.000 0.000 3.630
Si 0.000 3.630 0.000
Si 3.630 0.000 0.000
Si 3.630 3.630 3.630
Br 1.815 1.815 1.815
Br 1.815 1.815 5.444
Br 1.815 5.444 1.815
Br 1.815 5.444 5.444
Br 5.444 1.815 1.815
Br 5.444 1.815 5.444
Br 5.444 5.444 1.815
Br 5.444 5.444 5.444

***

Arrangement x

8
Lattice="3.681 0.000 0.000 0.000 4.929 0.000 0.000 0.000 12.405" Properties=species:S:1:pos:R:3 comment="InSiBr2 GGA-PBEsol relaxed" total_magnetization_mub_per_fu=0.0 n_ef_per_ev_fu=2.0 sg="Immm, No. 71" pbc="T T T"
In 0.000 0.000 0.000
In 1.841 2.464 6.203
Si 0.000 0.000 6.203
Si 1.841 2.464 0.000
Br 0.000 2.464 2.025
Br 0.000 2.464 10.380
Br 1.841 0.000 4.178
Br 1.841 0.000 8.227

***

The winner here is arrangement x, beating the second structure by 0.224 eV/atom.

***

Arrangement w

8
Lattice="3.017 0.000 0.000 0.000 3.058 0.000 0.000 0.000 15.934" Properties=species:S:1:pos:R:3 comment="InTc2Br GGA-PBEsol relaxed" total_magnetization_mub_per_fu=0.0 n_ef_per_ev_fu=2.2 sg="Amm2, No. 38" pbc="T T T"
In 0.000 0.000 0.000
In 0.000 1.529 7.967
Tc 0.000 0.000 12.633
Tc 0.000 1.529 4.666
Tc 1.509 0.000 6.068
Tc 1.509 1.529 14.035
Br 1.509 0.000 10.568
Br 1.509 1.529 2.601

***

Arrangement x

8
Lattice="4.132 0.000 0.000 0.000 4.132 0.000 0.000 0.000 7.879" Properties=species:S:1:pos:R:3 comment="InTc2Br GGA-PBEsol relaxed" total_magnetization_mub_per_fu=0.0 n_ef_per_ev_fu=4.3 sg="I-4m2, No. 119" pbc="T T T"
In 0.000 0.000 0.000
In 2.066 2.066 3.939
Tc 0.000 0.000 3.939
Tc 0.000 2.066 1.970
Tc 2.066 0.000 5.909
Tc 2.066 2.066 0.000
Br 0.000 2.066 5.909
Br 2.066 0.000 1.970

***

The winner here is arrangement w, beating the second structure by 0.789 eV/atom.

***

Arrangement w

8
Lattice="3.909 0.000 0.000 0.000 4.548 0.000 0.000 0.000 13.203" Properties=species:S:1:pos:R:3 comment="InTe2Br GGA-PBEsol relaxed" total_magnetization_mub_per_fu=0.0 n_ef_per_ev_fu=1.4 sg="Immm, No. 71" pbc="T T T"
In 0.000 0.000 0.000
In 1.954 2.274 6.602
Te 0.000 2.274 3.609
Te 0.000 2.274 9.595
Te 1.954 0.000 2.993
Te 1.954 0.000 10.210
Br 0.000 0.000 6.602
Br 1.954 2.274 0.000

***

Arrangement x

4
Lattice="3.848 0.000 0.000 0.000 3.848 0.000 0.000 0.000 7.462" Properties=species:S:1:pos:R:3 comment="InTe2Br GGA-PBEsol relaxed" total_magnetization_mub_per_fu=0.0 n_ef_per_ev_fu=1.6 sg="P4/mmm, No. 123" pbc="T T T"
In 0.000 0.000 0.000
Te 1.924 1.924 1.496
Te 1.924 1.924 5.966
Br 0.000 0.000 3.731

***

The winner here is arrangement w, beating the second structure by 0.152 eV/atom.

***

Arrangement w

12
Lattice="4.381 0.000 0.000 -2.191 3.794 0.000 0.000 0.000 25.837" Properties=species:S:1:pos:R:3 comment="InTe2Br GGA-PBEsol relaxed" total_magnetization_mub_per_fu=0.0 n_ef_per_ev_fu=1.2 sg="R-3m, No. 166" pbc="T T T"
In 0.000 0.000 0.000
In 0.000 2.529 17.224
In 2.191 1.265 8.612
Te 0.000 0.000 10.162
Te 0.000 0.000 15.675
Te 0.000 2.529 1.550
Te 0.000 2.529 7.062
Te 2.191 1.265 18.774
Te 2.191 1.265 24.287
Br 0.000 0.000 12.918
Br 0.000 2.529 4.306
Br 2.191 1.265 21.530

***

Arrangement x

8
Lattice="4.342 0.000 0.000 0.000 6.994 0.000 0.000 0.000 8.437" Properties=species:S:1:pos:R:3 comment="InTe2Br GGA-PBEsol relaxed" total_magnetization_mub_per_fu=0.0 n_ef_per_ev_fu=0.9 sg="Cmm2, No. 35" pbc="T T T"
In 0.000 0.000 0.000
In 2.171 3.497 0.000
Te 0.000 0.000 4.057
Te 0.000 3.497 2.252
Te 2.171 0.000 2.252
Te 2.171 3.497 4.057
Br 0.000 3.497 6.557
Br 2.171 0.000 6.557

***

Arrangement y

12
Lattice="3.141 0.000 0.000 -1.570 2.720 0.000 0.000 0.000 38.673" Properties=species:S:1:pos:R:3 comment="InTe2Br GGA-PBEsol relaxed" total_magnetization_mub_per_fu=0.0 n_ef_per_ev_fu=2.5 sg="R-3m, No. 166" pbc="T T T"
In 0.000 0.000 0.000
In 0.000 1.813 25.782
In 1.570 0.907 12.891
Te 0.000 0.000 3.027
Te 0.000 0.000 35.647
Te 0.000 1.813 22.755
Te 0.000 1.813 28.809
Te 1.570 0.907 9.864
Te 1.570 0.907 15.918
Br 0.000 0.000 19.337
Br 0.000 1.813 6.446
Br 1.570 0.907 32.228

***

The winner here is arrangement w, beating the second structure by 0.052 eV/atom.

***

Arrangement w

16
Lattice="7.565 0.000 0.000 0.000 7.565 0.000 0.000 0.000 7.565" Properties=species:S:1:pos:R:3 comment="YIn2Br GGA-PBEsol relaxed" total_magnetization_mub_per_fu=0.0 n_ef_per_ev_fu=3.2 sg="Fm-3m, No. 225" pbc="T T T"
Y 0.000 0.000 0.000
Y 0.000 3.782 3.782
Y 3.782 0.000 3.782
Y 3.782 3.782 0.000
In 1.891 1.891 1.891
In 1.891 1.891 5.673
In 1.891 5.673 1.891
In 1.891 5.673 5.673
In 5.673 1.891 1.891
In 5.673 1.891 5.673
In 5.673 5.673 1.891
In 5.673 5.673 5.673
Br 0.000 0.000 3.782
Br 0.000 3.782 0.000
Br 3.782 0.000 0.000
Br 3.782 3.782 3.782

***

Arrangement x

4
Lattice="3.593 0.000 0.000 0.000 5.225 0.000 0.000 0.000 5.642" Properties=species:S:1:pos:R:3 comment="YIn2Br GGA-PBEsol relaxed" total_magnetization_mub_per_fu=0.0 n_ef_per_ev_fu=2.0 sg="Pmmm, No. 47" pbc="T T T"
Y 0.000 0.000 0.000
In 1.796 2.612 1.386
In 1.796 2.612 4.255
Br 0.000 0.000 2.821

***

The winner here is arrangement x, beating the second structure by 0.384 eV/atom.

***

Arrangement w

8
Lattice="7.722 0.000 0.000 0.000 7.735 0.000 -0.121 0.000 3.376" Properties=species:S:1:pos:R:3 comment="Y2InBr GGA-PBEsol relaxed" total_magnetization_mub_per_fu=0.0 n_ef_per_ev_fu=3.8 sg="C2/m, No. 12" pbc="T T T"
Y 1.930 1.934 0.000
Y 1.930 5.801 0.000
Y 5.791 1.934 0.000
Y 5.791 5.801 0.000
In -0.060 0.000 1.688
In 3.800 3.868 1.688
Br -0.060 3.868 1.688
Br 3.800 0.000 1.688

***

Arrangement x

8
Lattice="4.315 0.000 0.000 0.000 4.315 0.000 0.000 0.000 11.182" Properties=species:S:1:pos:R:3 comment="Y2InBr GGA-PBEsol relaxed" total_magnetization_mub_per_fu=0.0 n_ef_per_ev_fu=3.1 sg="I-4m2, No. 119" pbc="T T T"
Y 0.000 0.000 0.000
Y 0.000 2.158 2.795
Y 2.158 0.000 8.386
Y 2.158 2.158 5.591
In 0.000 2.158 8.386
In 2.158 0.000 2.795
Br 0.000 0.000 5.591
Br 2.158 2.158 0.000

***

The winner here is arrangement w, beating the second structure by 0.195 eV/atom.

***

Arrangement w

3
Lattice="4.093 0.000 0.000 -2.047 3.545 0.000 0.000 0.000 5.292" Properties=species:S:1:pos:R:3 comment="ZnInBr GGA-PBEsol relaxed" total_magnetization_mub_per_fu=0.0 n_ef_per_ev_fu=0.8 sg="P3m1, No. 156" pbc="T T T"
Zn 0.000 0.000 0.000
In 0.000 2.363 1.498
Br 2.047 1.182 3.631

***

Arrangement x

12
Lattice="6.976 0.000 0.000 0.000 6.976 0.000 0.000 0.000 6.976" Properties=species:S:1:pos:R:3 comment="ZnInBr GGA-PBEsol relaxed" total_magnetization_mub_per_fu=0.0 n_ef_per_ev_fu=0.2 sg="F-43m, No. 216" pbc="T T T"
Zn 0.000 0.000 0.000
Zn 0.000 3.488 3.488
Zn 3.488 0.000 3.488
Zn 3.488 3.488 0.000
In 1.744 1.744 1.744
In 1.744 5.232 5.232
In 5.232 1.744 5.232
In 5.232 5.232 1.744
Br 1.744 1.744 5.232
Br 1.744 5.232 1.744
Br 5.232 1.744 1.744
Br 5.232 5.232 5.232

***

The winner here is arrangement w, beating the second structure by 0.126 eV/atom.

***

Arrangement w

12
Lattice="3.612 0.000 0.000 -1.806 3.128 0.000 0.000 0.000 27.257" Properties=species:S:1:pos:R:3 comment="ZnInBr2 GGA-PBEsol relaxed" total_magnetization_mub_per_fu=0.0 n_ef_per_ev_fu=1.0 sg="R-3m, No. 166" pbc="T T T"
Zn 0.000 0.000 0.000
Zn 0.000 2.086 18.171
Zn 1.806 1.043 9.086
In 0.000 0.000 13.628
In 0.000 2.086 4.543
In 1.806 1.043 22.714
Br 0.000 0.000 7.537
Br 0.000 0.000 19.720
Br 0.000 2.086 10.635
Br 0.000 2.086 25.708
Br 1.806 1.043 1.549
Br 1.806 1.043 16.622

***

Arrangement x

4
Lattice="3.719 0.000 0.000 0.000 4.921 0.000 0.000 0.000 5.489" Properties=species:S:1:pos:R:3 comment="ZnInBr2 GGA-PBEsol relaxed" total_magnetization_mub_per_fu=0.0 n_ef_per_ev_fu=1.9 sg="Pmmm, No. 47" pbc="T T T"
Zn 0.000 0.000 0.000
In 0.000 2.461 2.745
Br 1.860 0.000 2.745
Br 1.860 2.461 0.000

***

The winner here is arrangement w, beating the second structure by 0.198 eV/atom.